Record 1
A geometry-optimized PuZrIn structure. Source: the Alexandria database, functional GGA-PBE.

Lattice parameters (Å, degrees): 3.1669 5.2016 5.2016 120.00 90.00 90.00
Closest atoms and distances in Å follow each position.
Fractional coordinates of all 3 atoms:
In (0.5005, 0.6667, 0.3333)  3 Zr 3.00, 2 In 3.17
Zr (0.4995, 0.3333, 0.6667)  3 In 3.00, 2 Zr 3.17
Pu (0.0000, 0.0000, 0.0000)  2 Pu 3.17, 6 In 3.39-3.40, 6 Zr 3.39-3.40

**ΔH_f (0 K)**: 0.82 kcal/mol of atoms
**Raw total energy**: -8.504 eV per atom
**Calculated volume**: 24.74 A^3/atom
**DOS at the Fermi energy**: 7.4 states/eV per cell
**Mass density**: 10.1 Mg/m³
**Space-group type**: P-6m2, No. 187


Record 2
A geometry-optimized PuZr2In3 structure. Source: the Alexandria database, functional GGA-PBE.

Lattice parameters (Å, degrees): 3.1645 3.1645 13.8942 90.00 90.00 90.00
Closest atoms and distances in Å follow each position.
Fractional coordinates of all 6 atoms:
Pu (0.5000, 0.5000, 0.5000)  4 Pu 3.16, 8 In 3.35
Zr (0.5000, 0.5000, 0.8414)  8 In 3.14-3.17, 4 Zr 3.16
Zr (0.5000, 0.5000, 0.1586)  8 In 3.14-3.17, 4 Zr 3.16
In (0.0000, 0.0000, 0.0000)  8 Zr 3.14, 4 In 3.16
In (0.0000, 0.0000, 0.6796)  4 In 3.16, 4 Zr 3.17, 4 Pu 3.35
In (0.0000, 0.0000, 0.3204)  4 In 3.16, 4 Zr 3.17, 4 Pu 3.35

**ΔH_f (0 K)**: -6.27 kcal/mol of atoms
**Raw total energy**: -6.879 eV per atom
**Calculated volume**: 23.19 A^3/atom
**DOS at the Fermi energy**: 7.9 states/eV per cell
**Mass density**: 9.2 Mg/m³
**Space-group type**: P4/mmm, No. 123


Please write out number 1 again, unchanged.
A geometry-optimized PuZrIn structure. Source: the Alexandria database, functional GGA-PBE.

Lattice parameters (Å, degrees): 3.1669 5.2016 5.2016 120.00 90.00 90.00
Closest atoms and distances in Å follow each position.
Fractional coordinates of all 3 atoms:
In (0.5005, 0.6667, 0.3333)  3 Zr 3.00, 2 In 3.17
Zr (0.4995, 0.3333, 0.6667)  3 In 3.00, 2 Zr 3.17
Pu (0.0000, 0.0000, 0.0000)  2 Pu 3.17, 6 In 3.39-3.40, 6 Zr 3.39-3.40

**ΔH_f (0 K)**: 0.82 kcal/mol of atoms
**Raw total energy**: -8.504 eV per atom
**Calculated volume**: 24.74 A^3/atom
**DOS at the Fermi energy**: 7.4 states/eV per cell
**Mass density**: 10.1 Mg/m³
**Space-group type**: P-6m2, No. 187


Which value of ΔH_f (0 K) does entry 2 give?
-6.27 kcal/mol of atoms


Look up the calculated volume of the second one.
23.19 A^3/atom